# 1
First-principles (PBE-GGA) data for a geometry-optimized TbPr7Er3 structure, as listed in Alexandria via LeMat-Bulk.

Values from the calculation:
**DFT formation energy**: 0.2194 eV/atom
**Electronic total energy**: -49.36 eV for the cell shown
**Spin magnetization**: 0.00 μB/cell
**V**: 389.4 Å³ per cell
**Offset from the most stable computed form**: 8.7 kJ per mole of atoms
**Space group**: C2/m
**Calculated density**: 7024 kg/m³

Lattice parameters (Å, degrees): 8.619 8.619 5.947 110.14 110.14 83.67
Fractional coordinates of all 11 atoms:
Tb1 0.000 0.000 0.000
Pr1 0.000 0.000 0.500
Pr2 0.097 0.519 0.808
Pr3 0.292 0.292 0.293
Pr4 0.481 0.903 0.192
Pr5 0.519 0.097 0.808
Pr6 0.708 0.708 0.707
Pr7 0.903 0.481 0.192
Er1 0.296 0.704 0.500
Er2 0.500 0.500 0.000
Er3 0.704 0.296 0.500

---

# 2
First-principles (PBE-GGA) data for a geometry-optimized V2Ir2Pt structure, as listed in Alexandria via LeMat-Bulk.

Values from the calculation:
**DFT formation energy**: -0.2787 eV/atom
**Electronic total energy**: -86.79 eV for the cell shown
**Spin magnetization**: 0.00 μB/cell
**V**: 149.0 Å³ per cell
**Offset from the most stable computed form**: 13.5 kJ per mole of atoms
**Space group**: P4/mbm
**Calculated density**: 15193 kg/m³

Lattice parameters (Å, degrees): 7.354 7.354 2.754 90.00 90.00 90.00
Fractional coordinates of all 10 atoms:
V1 0.149 0.351 0.000
V2 0.351 0.851 0.000
V3 0.649 0.149 0.000
V4 0.851 0.649 0.000
Ir1 0.144 0.644 0.500
Ir2 0.356 0.144 0.500
Ir3 0.644 0.856 0.500
Ir4 0.856 0.356 0.500
Pt1 0.000 0.000 0.000
Pt2 0.500 0.500 0.000